Record 1
# PBE AlCd, optimized geometry
data_AlCd
_chemical_formula_sum 'Al2 Cd2'
_space_group_name_H-M_alt 'P 63/m m c'
_space_group_IT_number 194
_space_group_name_Hall '-P 6c 2c'
_cell_length_a 4.4380
_cell_length_b 4.4380
_cell_length_c 5.2878
_cell_angle_alpha 90.00
_cell_angle_beta 90.00
_cell_angle_gamma 120.00
loop_
_atom_site_label
_atom_site_type_symbol
_atom_site_fract_x
_atom_site_fract_y
_atom_site_fract_z
Al1 Al 0.0000 0.0000 0.0000
Cd1 Cd 0.3333 0.6667 0.2500
# Energy of formation from the pure elements in eV/atom: 0.20
# Volume in Å³ per cell: 90.2
# DOS at the Fermi energy in states/eV per atom: 0.4751

Record 2
# PBE AlCd, optimized geometry
data_AlCd
_chemical_formula_sum 'Al2 Cd2'
_space_group_name_H-M_alt 'P 1 21/m 1'
_space_group_IT_number 11
_cell_length_a 4.6316
_cell_length_b 2.9917
_cell_length_c 6.2978
_cell_angle_alpha 90.00
_cell_angle_beta 108.49
_cell_angle_gamma 90.00
loop_
_space_group_symop_operation_xyz
'x,y,z'
'-x,-y,-z'
'-x,y+1/2,-z'
'x,-y+1/2,z'
loop_
_atom_site_label
_atom_site_type_symbol
_atom_site_fract_x
_atom_site_fract_y
_atom_site_fract_z
Al1 Al 0.2312 0.2500 0.4447
Cd1 Cd 0.2171 0.2500 0.9099
# Energy of formation from the pure elements in eV/atom: 0.11
# Volume in Å³ per cell: 82.8
# DOS at the Fermi energy in states/eV per atom: 0.2180

Record 3
# PBE AlCd, optimized geometry
data_AlCd
_chemical_formula_sum 'Al8 Cd8'
_space_group_name_H-M_alt 'I 4/m'
_space_group_IT_number 87
_space_group_name_Hall '-I 4'
_cell_length_a 9.7738
_cell_length_b 9.7738
_cell_length_c 3.8535
_cell_angle_alpha 90.00
_cell_angle_beta 90.00
_cell_angle_gamma 90.00
loop_
_atom_site_label
_atom_site_type_symbol
_atom_site_fract_x
_atom_site_fract_y
_atom_site_fract_z
Al1 Al 0.0844 0.6140 0.0000
Cd1 Cd 0.1175 0.1812 0.0000
# Energy of formation from the pure elements in eV/atom: 0.15
# Volume in Å³ per cell: 368.1
# DOS at the Fermi energy in states/eV per atom: 0.2113

Record 4
# PBE Al3Cd, optimized geometry
data_Al3Cd
_chemical_formula_sum 'Al6 Cd2'
_space_group_name_H-M_alt 'C 1 2/m 1'
_space_group_IT_number 12
_cell_length_a 9.6928
_cell_length_b 2.9328
_cell_length_c 5.2950
_cell_angle_alpha 90.00
_cell_angle_beta 102.30
_cell_angle_gamma 90.00
loop_
_space_group_symop_operation_xyz
'x,y,z'
'-x,-y,-z'
'-x,y,-z'
'x,-y,z'
'x+1/2,y+1/2,z'
'-x+1/2,-y+1/2,-z'
'-x+1/2,y+1/2,-z'
'x+1/2,-y+1/2,z'
loop_
_atom_site_label
_atom_site_type_symbol
_atom_site_fract_x
_atom_site_fract_y
_atom_site_fract_z
Al1 Al 0.0000 0.0000 0.0000
Al2 Al 0.2446 0.5000 0.2362
Cd1 Cd 0.0000 0.5000 0.5000
# Energy of formation from the pure elements in eV/atom: 0.12
# Volume in Å³ per cell: 147.1
# DOS at the Fermi energy in states/eV per atom: 0.3816

Record 5
# PBE AlCd, optimized geometry
data_AlCd
_chemical_formula_sum 'Al6 Cd6'
_space_group_name_H-M_alt 'R -3 m'
_space_group_IT_number 166
_space_group_name_Hall '-R 3 2"'
_cell_length_a 4.6767
_cell_length_b 4.6767
_cell_length_c 13.8605
_cell_angle_alpha 90.00
_cell_angle_beta 90.00
_cell_angle_gamma 120.00
loop_
_atom_site_label
_atom_site_type_symbol
_atom_site_fract_x
_atom_site_fract_y
_atom_site_fract_z
Al1 Al 0.0000 0.0000 0.1765
Cd1 Cd 0.0000 0.0000 0.3867
# Energy of formation from the pure elements in eV/atom: 0.18
# Volume in Å³ per cell: 262.5
# DOS at the Fermi energy in states/eV per atom: 0.4764

Record 6
# PBE Al3Cd2, optimized geometry
data_Al3Cd2
_chemical_formula_sum 'Al9 Cd6'
_space_group_name_H-M_alt 'R -3 m'
_space_group_IT_number 166
_space_group_name_Hall '-R 3 2"'
_cell_length_a 3.0066
_cell_length_b 3.0066
_cell_length_c 36.7876
_cell_angle_alpha 90.00
_cell_angle_beta 90.00
_cell_angle_gamma 120.00
loop_
_atom_site_label
_atom_site_type_symbol
_atom_site_fract_x
_atom_site_fract_y
_atom_site_fract_z
Al1 Al 0.0000 0.0000 0.0000
Al2 Al 0.0000 0.0000 0.1970
Cd1 Cd 0.0000 0.0000 0.4015
# Excess energy over the best structure of this formula in the dataset in kJ/mol of atoms: 0.0
# Energy of formation from the pure elements in eV/atom: 0.09
# Volume in Å³ per cell: 288.0
# DOS at the Fermi energy in states/eV per atom: 0.3158

Record 7
# PBE Al3Cd, optimized geometry
data_Al3Cd
_chemical_formula_sum 'Al9 Cd3'
_space_group_name_H-M_alt 'R -3 m'
_space_group_IT_number 166
_space_group_name_Hall '-R 3 2"'
_cell_length_a 2.9282
_cell_length_b 2.9282
_cell_length_c 29.6471
_cell_angle_alpha 90.00
_cell_angle_beta 90.00
_cell_angle_gamma 120.00
loop_
_atom_site_label
_atom_site_type_symbol
_atom_site_fract_x
_atom_site_fract_y
_atom_site_fract_z
Al1 Al 0.0000 0.0000 0.0000
Al2 Al 0.0000 0.0000 0.2563
Cd1 Cd 0.0000 0.0000 0.5000
# Energy of formation from the pure elements in eV/atom: 0.05
# Volume in Å³ per cell: 220.1
# DOS at the Fermi energy in states/eV per atom: 0.2594

Record 8
# PBE AlCd, optimized geometry
data_AlCd
_chemical_formula_sum 'Al16 Cd16'
_space_group_name_H-M_alt 'F d d d'
_space_group_IT_number 70
_cell_length_a 5.5158
_cell_length_b 8.2672
_cell_length_c 15.5088
_cell_angle_alpha 90.00
_cell_angle_beta 90.00
_cell_angle_gamma 90.00
loop_
_space_group_symop_operation_xyz
'x,y,z'
'-x,-y,-z'
'-x+1/4,-y+1/4,z'
'x+1/4,y+1/4,-z'
'x,-y+1/4,-z+1/4'
'-x,y+1/4,z+1/4'
'-x+1/4,y,-z+1/4'
'x+1/4,-y,z+1/4'
'x,y+1/2,z+1/2'
'-x,-y+1/2,-z+1/2'
'-x+1/4,-y+3/4,z+1/2'
'x+1/4,y+3/4,-z+1/2'
'x,-y+3/4,-z+3/4'
'-x,y+3/4,z+3/4'
'-x+1/4,y+1/2,-z+3/4'
'x+1/4,-y+1/2,z+3/4'
'x+1/2,y,z+1/2'
'-x+1/2,-y,-z+1/2'
'-x+3/4,-y+1/4,z+1/2'
'x+3/4,y+1/4,-z+1/2'
'x+1/2,-y+1/4,-z+3/4'
'-x+1/2,y+1/4,z+3/4'
'-x+3/4,y,-z+3/4'
'x+3/4,-y,z+3/4'
'x+1/2,y+1/2,z'
'-x+1/2,-y+1/2,-z'
'-x+3/4,-y+3/4,z'
'x+3/4,y+3/4,-z'
'x+1/2,-y+3/4,-z+1/4'
'-x+1/2,y+3/4,z+1/4'
'-x+3/4,y+1/2,-z+1/4'
'x+3/4,-y+1/2,z+1/4'
loop_
_atom_site_label
_atom_site_type_symbol
_atom_site_fract_x
_atom_site_fract_y
_atom_site_fract_z
Al1 Al 0.1250 0.1250 0.0396
Cd1 Cd 0.1250 0.2964 0.6250
# Energy of formation from the pure elements in eV/atom: 0.23
# Volume in Å³ per cell: 707.2
# DOS at the Fermi energy in states/eV per atom: 0.3298

Record 9
# PBE AlCd, optimized geometry
data_AlCd
_chemical_formula_sum 'Al4 Cd4'
_space_group_name_H-M_alt 'F -4 3 m'
_space_group_IT_number 216
_space_group_name_Hall 'F -4 2 3'
_cell_length_a 6.2376
_cell_length_b 6.2376
_cell_length_c 6.2376
_cell_angle_alpha 90.00
_cell_angle_beta 90.00
_cell_angle_gamma 90.00
loop_
_atom_site_label
_atom_site_type_symbol
_atom_site_fract_x
_atom_site_fract_y
_atom_site_fract_z
Al1 Al 0.0000 0.0000 0.0000
Cd1 Cd 0.2500 0.2500 0.7500
# Energy of formation from the pure elements in eV/atom: 0.65
# Volume in Å³ per cell: 242.7
# DOS at the Fermi energy in states/eV per atom: 0.4156

Record 10
# PBE Al2Cd, optimized geometry
data_Al2Cd
_chemical_formula_sum 'Al2 Cd1'
_space_group_name_H-M_alt 'P 4/m m m'
_space_group_IT_number 123
_space_group_name_Hall '-P 4 2'
_cell_length_a 3.8917
_cell_length_b 3.8917
_cell_length_c 4.3586
_cell_angle_alpha 90.00
_cell_angle_beta 90.00
_cell_angle_gamma 90.00
loop_
_atom_site_label
_atom_site_type_symbol
_atom_site_fract_x
_atom_site_fract_y
_atom_site_fract_z
Al1 Al 0.0000 0.5000 0.0000
Cd1 Cd 0.0000 0.0000 0.5000
# Energy of formation from the pure elements in eV/atom: 0.24
# Volume in Å³ per cell: 66.0
# DOS at the Fermi energy in states/eV per atom: 0.4676

Record 11
# PBE Al5Cd, optimized geometry
data_Al5Cd
_chemical_formula_sum 'Al5 Cd1'
_space_group_name_H-M_alt 'P -6 2 m'
_space_group_IT_number 189
_space_group_name_Hall 'P -6 -2'
_cell_length_a 4.9809
_cell_length_b 4.9809
_cell_length_c 5.0416
_cell_angle_alpha 90.00
_cell_angle_beta 90.00
_cell_angle_gamma 120.00
loop_
_atom_site_label
_atom_site_type_symbol
_atom_site_fract_x
_atom_site_fract_y
_atom_site_fract_z
Al1 Al 0.0000 0.6553 0.0000
Al2 Al 0.3333 0.6667 0.5000
Cd1 Cd 0.0000 0.0000 0.5000
# Excess energy over the best structure of this formula in the dataset in kJ/mol of atoms: 7.0
# Energy of formation from the pure elements in eV/atom: 0.13
# Volume in Å³ per cell: 108.3
# DOS at the Fermi energy in states/eV per atom: 0.4284

Record 12
# PBE Al2Cd, optimized geometry
data_Al2Cd
_chemical_formula_sum 'Al8 Cd4'
_space_group_name_H-M_alt 'I 4/m c m'
_space_group_IT_number 140
_space_group_name_Hall '-I 4 2c'
_cell_length_a 6.5104
_cell_length_b 6.5104
_cell_length_c 5.7320
_cell_angle_alpha 90.00
_cell_angle_beta 90.00
_cell_angle_gamma 90.00
loop_
_atom_site_label
_atom_site_type_symbol
_atom_site_fract_x
_atom_site_fract_y
_atom_site_fract_z
Al1 Al 0.1429 0.3571 0.0000
Cd1 Cd 0.0000 0.0000 0.2500
# Energy of formation from the pure elements in eV/atom: 0.27
# Volume in Å³ per cell: 243.0
# DOS at the Fermi energy in states/eV per atom: 0.3503

Record 13
# PBE Al2Cd3, optimized geometry
data_Al2Cd3
_chemical_formula_sum 'Al2 Cd3'
_space_group_name_H-M_alt 'P -3 m 1'
_space_group_IT_number 164
_space_group_name_Hall '-P 3 2"'
_cell_length_a 4.7660
_cell_length_b 4.7660
_cell_length_c 5.7976
_cell_angle_alpha 90.00
_cell_angle_beta 90.00
_cell_angle_gamma 120.00
loop_
_atom_site_label
_atom_site_type_symbol
_atom_site_fract_x
_atom_site_fract_y
_atom_site_fract_z
Al1 Al 0.3333 0.6667 0.3705
Cd1 Cd 0.0000 0.0000 0.5000
Cd2 Cd 0.3333 0.6667 0.8784
# Excess energy over the best structure of this formula in the dataset in kJ/mol of atoms: 10.8
# Energy of formation from the pure elements in eV/atom: 0.18
# Volume in Å³ per cell: 114.0
# DOS at the Fermi energy in states/eV per atom: 0.3848

Respective mass density values: 5.1, 5.6, 5.0, 4.4, 5.3, 5.3, 4.4, 5.2, 3.8, 4.2, 3.8, 4.5, 5.7 g/cm3.